Density functional theory data (SCAN) for SiRu at its PBEsol-relaxed geometry.

Values from the calculation:
D(E_F) (states/eV per cell): 14.6
ΔE_f (raw) (eV/atom): 0.18
Magnetization (Bohr magnetons per cell): 0.0
VASP energy (eV for the cell shown): -355.887

Cell lengths 5.978, 5.978, 5.978 Å; angles 90.00, 90.00, 90.00 degrees
Space group Fd-3m (No. 227, origin choice 2)
Asymmetric unit:
Si 0.125 0.125 0.125 x8
Ru 0.125 0.125 0.625 x8